{
  "formula": "Pr3Al3Ni2",
  "functional": "PBE-GGA",
  "state": "relaxed",
  "delta_e_f_kj_per_mol_fu": -316,
  "relative_energy_mev_per_atom": 18,
  "lattice": [[8.1413, 0.0000, 0.0000], [0.0000, 15.3373, 0.0000], [0.0000, 0.0000, 5.6113]],
  "species": ["Pr", "Pr", "Pr", "Pr", "Pr", "Pr", "Pr", "Pr", "Pr", "Pr", "Pr", "Pr", "Al", "Al", "Al", "Al", "Al", "Al", "Al", "Al", "Al", "Al", "Al", "Al", "Ni", "Ni", "Ni", "Ni", "Ni", "Ni", "Ni", "Ni"],
  "frac_coords": [[0.0374, 0.1113, 0.1016], [0.0374, 0.3887, 0.1016], [0.1868, 0.2500, 0.5874], [0.3132, 0.7500, 0.0874], [0.4626, 0.6113, 0.6016], [0.4626, 0.8887, 0.6016], [0.5374, 0.1113, 0.3984], [0.5374, 0.3887, 0.3984], [0.6868, 0.2500, 0.9126], [0.8132, 0.7500, 0.4126], [0.9626, 0.6113, 0.8984], [0.9626, 0.8887, 0.8984], [0.1655, 0.7500, 0.5716], [0.1711, 0.0334, 0.6005], [0.1711, 0.4666, 0.6005], [0.3289, 0.5334, 0.1005], [0.3289, 0.9666, 0.1005], [0.3345, 0.2500, 0.0716], [0.6655, 0.7500, 0.9284], [0.6711, 0.0334, 0.8995], [0.6711, 0.4666, 0.8995], [0.8289, 0.5334, 0.3995], [0.8289, 0.9666, 0.3995], [0.8345, 0.2500, 0.4284], [0.1143, 0.6034, 0.3686], [0.1143, 0.8966, 0.3686], [0.3857, 0.1034, 0.8686], [0.3857, 0.3966, 0.8686], [0.6143, 0.6034, 0.1314], [0.6143, 0.8966, 0.1314], [0.8857, 0.1034, 0.6314], [0.8857, 0.3966, 0.6314]]
}